# GGA-PBE AcPmAs, relaxed
data_AcPmAs
_cell_length_a 5.155
_cell_length_b 5.155
_cell_length_c 5.155
_cell_angle_alpha 60.00
_cell_angle_beta 60.00
_cell_angle_gamma 60.00
_symmetry_space_group_name_H-M 'P 1'
_symmetry_Int_Tables_number 1
_symmetry_space_group_name_Hall 'P 1'
loop_
_atom_site_label
_atom_site_type_symbol
_atom_site_fract_x
_atom_site_fract_y
_atom_site_fract_z
_atom_site_occupancy
Ac1 Ac 0.000 0.000 0.000 1
Pm1 Pm 0.500 0.500 0.500 1
As1 As 0.750 0.750 0.750 1
# Electronic total energy = -5.22 eV per atom
# Excess energy over the best structure of this formula in the dataset = 109 meV per atom
# Magnetization = 0.000 μB/f.u.



# GGA-PBE AcPmAs, relaxed
data_AcPmAs
_cell_length_a 7.331
_cell_length_b 7.331
_cell_length_c 7.331
_cell_angle_alpha 131.09
_cell_angle_beta 131.09
_cell_angle_gamma 71.67
_symmetry_space_group_name_H-M 'P 1'
_symmetry_Int_Tables_number 1
_symmetry_space_group_name_Hall 'P 1'
loop_
_atom_site_label
_atom_site_type_symbol
_atom_site_fract_x
_atom_site_fract_y
_atom_site_fract_z
_atom_site_occupancy
Ac1 Ac 0.000 0.000 0.000 1
Ac2 Ac 0.750 0.250 0.500 1
Pm1 Pm 0.255 0.755 0.500 1
Pm2 Pm 0.505 0.505 0.000 1
As1 As 0.011 0.511 0.500 1
As2 As 0.261 0.261 0.000 1
# Electronic total energy = -5.29 eV per atom
# Excess energy over the best structure of this formula in the dataset = 42 meV per atom
# Magnetization = 0.000 μB/f.u.



# GGA-PBE AcPmAs2, relaxed
data_AcPmAs2
_cell_length_a 7.621
_cell_length_b 7.621
_cell_length_c 7.621
_cell_angle_alpha 33.52
_cell_angle_beta 33.52
_cell_angle_gamma 33.52
_symmetry_space_group_name_H-M 'P 1'
_symmetry_Int_Tables_number 1
_symmetry_space_group_name_Hall 'P 1'
loop_
_atom_site_label
_atom_site_type_symbol
_atom_site_fract_x
_atom_site_fract_y
_atom_site_fract_z
_atom_site_occupancy
Ac1 Ac 0.000 0.000 0.000 1
Pm1 Pm 0.500 0.500 0.500 1
As1 As 0.245 0.245 0.245 1
As2 As 0.755 0.755 0.755 1
# Electronic total energy = -6.02 eV per atom
# Excess energy over the best structure of this formula in the dataset = 0 meV per atom
# Magnetization = 0.000 μB/f.u.



Copy entry 3 word for word.
# GGA-PBE AcPmAs2, relaxed
data_AcPmAs2
_cell_length_a 7.621
_cell_length_b 7.621
_cell_length_c 7.621
_cell_angle_alpha 33.52
_cell_angle_beta 33.52
_cell_angle_gamma 33.52
_symmetry_space_group_name_H-M 'P 1'
_symmetry_Int_Tables_number 1
_symmetry_space_group_name_Hall 'P 1'
loop_
_atom_site_label
_atom_site_type_symbol
_atom_site_fract_x
_atom_site_fract_y
_atom_site_fract_z
_atom_site_occupancy
Ac1 Ac 0.000 0.000 0.000 1
Pm1 Pm 0.500 0.500 0.500 1
As1 As 0.245 0.245 0.245 1
As2 As 0.755 0.755 0.755 1
# Electronic total energy = -6.02 eV per atom
# Excess energy over the best structure of this formula in the dataset = 0 meV per atom
# Magnetization = 0.000 μB/f.u.